Record 1
# Pr4Dy2Er3

Pr4Dy2Er3 after structural relaxation (GGA-PBE, Alexandria).

Values from the calculation:
- energy of formation from the pure elements (eV/atom) = 0.088
- offset from the most stable computed form (meV/atom) = 42

a = 6.2194 Å, b = 10.0833 Å, c = 10.0833 Å
α = 71.52°, β = 85.03°, γ = 85.03°
Sites, in units of the cell vectors:
Er  0.7500  0.5966  0.4034
Pr  0.1775  0.7623  0.4824
Pr  0.8225  0.2377  0.5176
Pr  0.3225  0.5176  0.2377
Dy  0.1510  0.5776  0.8566
Dy  0.6510  0.8566  0.5776
Er  0.5921  0.7319  0.9332
Pr  0.4857  0.9052  0.1917
Pr  0.6775  0.4824  0.7623
Er  0.9079  0.0668  0.2681
Pr  0.5143  0.0948  0.8083
Pr  0.0143  0.8083  0.0948
Er  0.2500  0.4034  0.5966
Pr  0.9857  0.1917  0.9052
Dy  0.3490  0.1434  0.4224
Dy  0.8490  0.4224  0.1434
Er  0.0921  0.9332  0.7319
Er  0.4079  0.2681  0.0668

Record 2
# Pr6DyEr

Pr6DyEr after structural relaxation (GGA-PBE, Alexandria).

Values from the calculation:
- energy of formation from the pure elements (eV/atom) = 0.014

a = 5.1847 Å, b = 5.1847 Å, c = 10.3597 Å
α = 90.00°, β = 90.00°, γ = 90.00°
Sites, in units of the cell vectors:
Pr  0.0000  0.5000  0.2506
Dy  0.0000  0.0000  0.0000
Pr  0.5000  0.5000  0.5000
Er  0.0000  0.0000  0.5000
Pr  0.0000  0.5000  0.7494
Pr  0.5000  0.5000  0.0000
Pr  0.5000  0.0000  0.7494
Pr  0.5000  0.0000  0.2506

| no. | Fermi-level density of states (states/eV per atom) | M_tot (μB/cell) |
| --- | --- | --- |
| 1 | 1.362 | 0.00 |
| 2 | 1.641 | 0.00 |